Record 1
First-principles (GGA-PBE) data for a geometry-optimized Ta2ZnIn structure, as listed in the Alexandria database.

* electronic total energy: -6.6589 eV/atom

Cell and atoms, written as CIF:
```
data_Ta2ZnIn
_space_group_name_H-M_alt 'P 1'
_space_group_IT_number 1
_space_group_name_Hall 'P 1'
_cell_length_a 9.9335
_cell_length_b 9.9335
_cell_length_c 9.9335
_cell_angle_alpha 17.30
_cell_angle_beta 17.30
_cell_angle_gamma 17.30
loop_
_atom_site_label
_atom_site_fract_x
_atom_site_fract_y
_atom_site_fract_z
_atom_site_occupancy
Ta1 0.9988 0.9988 0.9988 1
Zn1 0.5026 0.5026 0.5026 1
Ta2 0.2468 0.2468 0.2468 1
In1 0.7518 0.7518 0.7518 1
```



Record 2
First-principles (GGA-PBE) data for a geometry-optimized Ta2ZnIn structure, as listed in the Alexandria database.

* electronic total energy: -6.8180 eV/atom

Cell and atoms, written as CIF:
```
data_Ta2ZnIn
_space_group_name_H-M_alt 'P 1'
_space_group_IT_number 1
_space_group_name_Hall 'P 1'
_cell_length_a 3.8217
_cell_length_b 4.2051
_cell_length_c 4.4715
_cell_angle_alpha 90.00
_cell_angle_beta 90.00
_cell_angle_gamma 90.00
loop_
_atom_site_label
_atom_site_fract_x
_atom_site_fract_y
_atom_site_fract_z
_atom_site_occupancy
Ta1 0.5000 0.5000 0.0000 1
In1 0.0000 0.5000 0.5000 1
Ta2 0.0000 0.0000 0.0000 1
Zn1 0.5000 0.0000 0.5000 1
```



Record 3
First-principles (GGA-PBE) data for a geometry-optimized ZrTaZn2In structure, as listed in the Alexandria database.

* electronic total energy: -3.9409 eV/atom

Cell and atoms, written as CIF:
```
data_ZrTaZn2In
_space_group_name_H-M_alt 'P 1'
_space_group_IT_number 1
_space_group_name_Hall 'P 1'
_cell_length_a 5.1758
_cell_length_b 5.0262
_cell_length_c 5.1758
_cell_angle_alpha 90.00
_cell_angle_beta 90.00
_cell_angle_gamma 90.00
loop_
_atom_site_label
_atom_site_fract_x
_atom_site_fract_y
_atom_site_fract_z
_atom_site_occupancy
Zn1 0.0000 0.0000 0.5000 1
Zn2 0.5000 0.0000 0.0000 1
Ta1 0.0000 0.5000 0.0000 1
In1 0.5000 0.5000 0.5000 1
Zr1 0.0000 0.0000 0.0000 1
```



Record 4
First-principles (GGA-PBE) data for a geometry-optimized Zr2TaIn structure, as listed in the Alexandria database.

* electronic total energy: -7.9898 eV/atom

Cell and atoms, written as CIF:
```
data_Zr2TaIn
_space_group_name_H-M_alt 'P 1'
_space_group_IT_number 1
_space_group_name_Hall 'P 1'
_cell_length_a 4.5749
_cell_length_b 4.5749
_cell_length_c 4.0325
_cell_angle_alpha 90.00
_cell_angle_beta 90.00
_cell_angle_gamma 90.00
loop_
_atom_site_label
_atom_site_fract_x
_atom_site_fract_y
_atom_site_fract_z
_atom_site_occupancy
Zr1 0.5000 0.5000 0.0000 1
Ta1 0.0000 0.5000 0.5000 1
In1 0.5000 0.0000 0.5000 1
Zr2 0.0000 0.0000 0.0000 1
```



Record 5
First-principles (GGA-PBE) data for a geometry-optimized Zr2TaIn structure, as listed in the Alexandria database.

* electronic total energy: -7.9652 eV/atom

Cell and atoms, written as CIF:
```
data_Zr2TaIn
_space_group_name_H-M_alt 'P 1'
_space_group_IT_number 1
_space_group_name_Hall 'P 1'
_cell_length_a 5.5509
_cell_length_b 5.5509
_cell_length_c 5.5509
_cell_angle_alpha 134.59
_cell_angle_beta 134.59
_cell_angle_gamma 66.17
loop_
_atom_site_label
_atom_site_fract_x
_atom_site_fract_y
_atom_site_fract_z
_atom_site_occupancy
Zr1 0.0000 0.0000 0.0000 1
Ta1 0.7500 0.2500 0.5000 1
Zr2 0.2500 0.7500 0.5000 1
In1 0.5000 0.5000 0.0000 1
```



Record 6
First-principles (GGA-PBE) data for a geometry-optimized Zr2TaIn structure, as listed in the Alexandria database.

* electronic total energy: -7.8559 eV/atom

Cell and atoms, written as CIF:
```
data_Zr2TaIn
_space_group_name_H-M_alt 'P 1'
_space_group_IT_number 1
_space_group_name_Hall 'P 1'
_cell_length_a 3.0281
_cell_length_b 3.0281
_cell_length_c 9.6052
_cell_angle_alpha 90.00
_cell_angle_beta 90.00
_cell_angle_gamma 103.08
loop_
_atom_site_label
_atom_site_fract_x
_atom_site_fract_y
_atom_site_fract_z
_atom_site_occupancy
Zr1 0.0000 0.0000 0.9918 1
Zr2 0.5000 0.5000 0.2495 1
Ta1 0.5000 0.5000 0.7503 1
In1 0.0000 0.0000 0.5084 1
```



Record 7
First-principles (GGA-PBE) data for a geometry-optimized Zr2TaIn2 structure, as listed in the Alexandria database.

* electronic total energy: -6.8673 eV/atom

Cell and atoms, written as CIF:
```
data_Zr2TaIn2
_space_group_name_H-M_alt 'P 1'
_space_group_IT_number 1
_space_group_name_Hall 'P 1'
_cell_length_a 7.5440
_cell_length_b 7.5440
_cell_length_c 3.8554
_cell_angle_alpha 90.00
_cell_angle_beta 90.00
_cell_angle_gamma 90.00
loop_
_atom_site_label
_atom_site_fract_x
_atom_site_fract_y
_atom_site_fract_z
_atom_site_occupancy
Zr1 0.3257 0.1743 0.5000 1
In1 0.8691 0.6309 0.0000 1
Zr2 0.1743 0.6743 0.5000 1
Zr3 0.8257 0.3257 0.5000 1
In2 0.1309 0.3691 0.0000 1
In3 0.3691 0.8691 0.0000 1
In4 0.6309 0.1309 0.0000 1
Zr4 0.6743 0.8257 0.5000 1
Ta1 0.5000 0.5000 0.0000 1
Ta2 0.0000 0.0000 0.0000 1
```



Record 8
First-principles (GGA-PBE) data for a geometry-optimized ZrTaIn3 structure, as listed in the Alexandria database.

* electronic total energy: -4.7751 eV/atom
* excess energy over the best structure of this formula in the dataset: 0 meV per atom

Cell and atoms, written as CIF:
```
data_ZrTaIn3
_space_group_name_H-M_alt 'P 1'
_space_group_IT_number 1
_space_group_name_Hall 'P 1'
_cell_length_a 5.2555
_cell_length_b 5.2555
_cell_length_c 5.2555
_cell_angle_alpha 90.00
_cell_angle_beta 90.00
_cell_angle_gamma 90.00
loop_
_atom_site_label
_atom_site_fract_x
_atom_site_fract_y
_atom_site_fract_z
_atom_site_occupancy
In1 0.0000 0.5000 0.0000 1
In2 0.0000 0.0000 0.5000 1
Zr1 0.5000 0.5000 0.5000 1
Ta1 0.0000 0.0000 0.0000 1
In3 0.5000 0.0000 0.0000 1
```



Record 9
First-principles (GGA-PBE) data for a geometry-optimized Zr12TaIn3 structure, as listed in the Alexandria database.

* electronic total energy: -7.8057 eV/atom

Cell and atoms, written as CIF:
```
data_Zr12TaIn3
_space_group_name_H-M_alt 'P 1'
_space_group_IT_number 1
_space_group_name_Hall 'P 1'
_cell_length_a 4.4617
_cell_length_b 4.4617
_cell_length_c 17.9721
_cell_angle_alpha 90.00
_cell_angle_beta 90.00
_cell_angle_gamma 90.00
loop_
_atom_site_label
_atom_site_fract_x
_atom_site_fract_y
_atom_site_fract_z
_atom_site_occupancy
Zr1 0.5000 0.0000 0.8777 1
Zr2 0.0000 0.5000 0.6243 1
In1 0.0000 0.0000 0.7501 1
Zr3 0.5000 0.5000 0.0000 1
Zr4 0.5000 0.0000 0.1223 1
Zr5 0.0000 0.5000 0.8777 1
Zr6 0.5000 0.5000 0.2517 1
Zr7 0.5000 0.0000 0.6243 1
Zr8 0.5000 0.0000 0.3757 1
Zr9 0.0000 0.5000 0.3757 1
In2 0.0000 0.0000 0.5000 1
Zr10 0.5000 0.5000 0.7483 1
Zr11 0.5000 0.5000 0.5000 1
In3 0.0000 0.0000 0.2499 1
Zr12 0.0000 0.5000 0.1223 1
Ta1 0.0000 0.0000 0.0000 1
```



Record 10
First-principles (GGA-PBE) data for a geometry-optimized Zr2TaIn structure, as listed in the Alexandria database.

* electronic total energy: -7.8966 eV/atom

Cell and atoms, written as CIF:
```
data_Zr2TaIn
_space_group_name_H-M_alt 'P 1'
_space_group_IT_number 1
_space_group_name_Hall 'P 1'
_cell_length_a 10.1375
_cell_length_b 10.1375
_cell_length_c 10.1375
_cell_angle_alpha 18.15
_cell_angle_beta 18.15
_cell_angle_gamma 18.15
loop_
_atom_site_label
_atom_site_fract_x
_atom_site_fract_y
_atom_site_fract_z
_atom_site_occupancy
Zr1 0.0037 0.0037 0.0037 1
In1 0.2500 0.2500 0.2500 1
Ta1 0.7500 0.7500 0.7500 1
Zr2 0.4963 0.4963 0.4963 1
```



Record 11
First-principles (GGA-PBE) data for a geometry-optimized Zr2Ta2In structure, as listed in the Alexandria database.

* electronic total energy: -8.5710 eV/atom

Cell and atoms, written as CIF:
```
data_Zr2Ta2In
_space_group_name_H-M_alt 'P 1'
_space_group_IT_number 1
_space_group_name_Hall 'P 1'
_cell_length_a 7.5029
_cell_length_b 7.5029
_cell_length_c 3.8457
_cell_angle_alpha 90.00
_cell_angle_beta 90.00
_cell_angle_gamma 90.00
loop_
_atom_site_label
_atom_site_fract_x
_atom_site_fract_y
_atom_site_fract_z
_atom_site_occupancy
Zr1 0.1723 0.6723 0.5000 1
Ta1 0.6243 0.1243 0.0000 1
In1 0.0000 0.0000 0.0000 1
Zr2 0.8277 0.3277 0.5000 1
In2 0.5000 0.5000 0.0000 1
Ta2 0.3757 0.8757 0.0000 1
Zr3 0.3277 0.1723 0.5000 1
Ta3 0.8757 0.6243 0.0000 1
Ta4 0.1243 0.3757 0.0000 1
Zr4 0.6723 0.8277 0.5000 1
```



Record 12
First-principles (GGA-PBE) data for a geometry-optimized Zr2TaIn structure, as listed in the Alexandria database.

* electronic total energy: -7.9315 eV/atom

Cell and atoms, written as CIF:
```
data_Zr2TaIn
_space_group_name_H-M_alt 'P 1'
_space_group_IT_number 1
_space_group_name_Hall 'P 1'
_cell_length_a 5.4539
_cell_length_b 5.4539
_cell_length_c 5.4539
_cell_angle_alpha 133.01
_cell_angle_beta 133.01
_cell_angle_gamma 68.65
loop_
_atom_site_label
_atom_site_fract_x
_atom_site_fract_y
_atom_site_fract_z
_atom_site_occupancy
In1 0.2500 0.7500 0.5000 1
Ta1 0.7500 0.2500 0.5000 1
Zr1 0.5000 0.5000 0.0000 1
Zr2 0.0000 0.0000 0.0000 1
```



no.,formation energy from the elements (eV/atom)
1,0.27
2,0.11
3,1.20
4,-0.07
5,-0.04
6,0.07
7,0.02
8,0.95
9,-0.14
10,0.03
11,0.14
12,-0.01